Model 1:
The following is a DFT calculation (GGA-PBE) of a relaxed structure of Ac2In5Ag5.

The value obtained for the density of states at the Fermi level is 6.308 states/eV/f.u. The mass density comes out at 8.7 g cm⁻³.

The space group is Pmmm (No. 47) and the conventional cell measures 4.717, 5.882 and 10.844 Å, with angles of 90.00, 90.00 and 90.00 degrees. The distinct sites, in fractional coordinates, are Ac at (0.000, 0.000, 0.000), Ac at (0.000, 0.500, 0.500), In at (0.000, 0.000, 0.317), In at (0.000, 0.500, 0.168), In at (0.500, 0.000, 0.500), Ag at (0.500, 0.251, 0.243) and Ag at (0.500, 0.500, 0.000).

---

Model 2:
The following is a DFT calculation (GGA-PBE) of a relaxed structure of Ac2In5Ag5.

The value obtained for the density of states at the Fermi level is 3.909 states/eV/f.u. The mass density comes out at 8.8 g cm⁻³.

The space group is Pmmm (No. 47) and the conventional cell measures 4.756, 6.034 and 10.275 Å, with angles of 90.00, 90.00 and 90.00 degrees. The distinct sites, in fractional coordinates, are Ac at (0.000, 0.000, 0.000), Ac at (0.000, 0.500, 0.500), In at (0.500, 0.000, 0.500), In at (0.500, 0.250, 0.239), Ag at (0.000, 0.000, 0.336), Ag at (0.000, 0.500, 0.163) and Ag at (0.500, 0.500, 0.000).

---

Best to worst by energy: model 2, model 1.

---

Model 1:
The following is a DFT calculation (GGA-PBE) of a relaxed structure of Ac3In2Ag3.

The value obtained for the density of states at the Fermi level is 6.673 states/eV/f.u. The mass density comes out at 8.6 g cm⁻³.

The space group is Pnma (No. 62) and the conventional cell measures 9.070, 16.636 and 6.353 Å, with angles of 90.00, 90.00 and 90.00 degrees. The distinct sites, in fractional coordinates, are Ac at (0.050, 0.106, 0.141), Ac at (0.185, 0.250, 0.620), In at (0.101, 0.604, 0.364), Ag at (0.175, 0.750, 0.622) and Ag at (0.190, 0.036, 0.603).

---

Model 2:
The following is a DFT calculation (GGA-PBE) of a relaxed structure of Ac3In2Ag3.

The value obtained for the density of states at the Fermi level is 7.232 states/eV/f.u. The mass density comes out at 8.7 g cm⁻³.

The space group is Cmcm (No. 63) and the conventional cell measures 4.927, 12.155 and 15.793 Å, with angles of 90.00, 90.00 and 90.00 degrees. The distinct sites, in fractional coordinates, are Ac at (0.000, 0.088, 0.108), Ac at (0.000, 0.379, 0.250), In at (0.000, 0.207, 0.595), Ag at (0.000, 0.338, 0.750) and Ag at (0.000, 0.392, 0.039).

---

Best to worst by energy: model 2, model 1.

---

Model 1:
The following is a DFT calculation (GGA-PBE) of a relaxed structure of Ac4InAg.

The value obtained for the density of states at the Fermi level is 7.593 states/eV/f.u. The mass density comes out at 8.5 g cm⁻³.

The space group is P2_1/m (No. 11) and the conventional cell measures 6.068, 7.781 and 9.520 Å, with angles of 90.00, 98.69 and 90.00 degrees. The distinct sites, in fractional coordinates, are Ac at (0.151, 0.250, 0.054), Ac at (0.202, 0.750, 0.372), Ac at (0.323, 0.514, 0.726), In at (0.232, 0.250, 0.418) and Ag at (0.363, 0.750, 0.049).

---

Model 2:
The following is a DFT calculation (GGA-PBE) of a relaxed structure of Ac4InAg.

The value obtained for the density of states at the Fermi level is 7.234 states/eV/f.u. The mass density comes out at 8.5 g cm⁻³.

The space group is C2/c (No. 15) and the conventional cell measures 9.729, 15.276 and 6.475 Å, with angles of 90.00, 112.62 and 90.00 degrees. The distinct sites, in fractional coordinates, are Ac at (0.115, 0.189, 0.070), Ac at (0.205, 0.421, 0.343), In at (0.000, 0.383, 0.750) and Ag at (0.000, 0.003, 0.750).

---

Best to worst by energy: model 1, model 2.

---

Model 1:
The following is a DFT calculation (GGA-PBE) of a relaxed structure of AcIn2Ag4.

The value obtained for the density of states at the Fermi level is 3.504 states/eV/f.u. The mass density comes out at 7.0 g cm⁻³.

The space group is I4/mmm (No. 139) and the conventional cell measures 8.323, 8.323 and 6.068 Å, with angles of 90.00, 90.00 and 90.00 degrees. The distinct sites, in fractional coordinates, are Ac at (0.000, 0.000, 0.000), In at (0.000, 0.500, 0.250) and Ag at (0.000, 0.227, 0.500).

---

Model 2:
The following is a DFT calculation (GGA-PBE) of a relaxed structure of AcIn2Ag4.

The value obtained for the density of states at the Fermi level is 3.706 states/eV/f.u. The mass density comes out at 9.3 g cm⁻³.

The space group is I4/mmm (No. 139) and the conventional cell measures 7.378, 7.378 and 5.849 Å, with angles of 90.00, 90.00 and 90.00 degrees. The distinct sites, in fractional coordinates, are Ac at (0.000, 0.000, 0.000), In at (0.000, 0.500, 0.250) and Ag at (0.191, 0.191, 0.500).

---

Best to worst by energy: model 2, model 1.

---

Model 1:
The following is a DFT calculation (GGA-PBE) of a relaxed structure of Ac2In3Ag.

The value obtained for the density of states at the Fermi level is 4.214 states/eV/f.u. The mass density comes out at 8.3 g cm⁻³.

The space group is Pmm2 (No. 25) and the conventional cell measures 4.084, 5.057 and 8.767 Å, with angles of 90.00, 90.00 and 90.00 degrees. The distinct sites, in fractional coordinates, are Ac at (0.000, 0.000, 0.000), Ac at (0.000, 0.500, 0.491), In at (0.500, 0.000, 0.653), In at (0.500, 0.500, 0.169), In at (0.500, 0.500, 0.830) and Ag at (0.500, 0.000, 0.325).

---

Model 2:
The following is a DFT calculation (GGA-PBE) of a relaxed structure of Ac2In3Ag.

The value obtained for the density of states at the Fermi level is 3.100 states/eV/f.u. The mass density comes out at 8.4 g cm⁻³.

The space group is Cm (No. 8) and the conventional cell measures 11.746, 5.095 and 8.165 Å, with angles of 90.00, 133.09 and 90.00 degrees. The distinct sites, in fractional coordinates, are Ac at (0.000, 0.000, 0.000), Ac at (0.078, 0.000, 0.582), In at (0.191, 0.500, 0.986), In at (0.207, 0.500, 0.404), In at (0.376, 0.000, 0.187) and Ag at (0.367, 0.000, 0.564).

---

Best to worst by energy: model 2, model 1.

---

Model 1:
The following is a DFT calculation (GGA-PBE) of a relaxed structure of Ac8InAg2.

The value obtained for the density of states at the Fermi level is 11.745 states/eV/f.u. The mass density comes out at 8.5 g cm⁻³.

The space group is C2/m (No. 12) and the conventional cell measures 17.786, 5.868 and 9.191 Å, with angles of 90.00, 118.94 and 90.00 degrees. The distinct sites, in fractional coordinates, are Ac at (0.068, 0.000, 0.226), Ac at (0.103, 0.500, 0.959), Ac at (0.142, 0.000, 0.706), Ac at (0.185, 0.500, 0.474), In at (0.000, 0.500, 0.500) and Ag at (0.221, 0.000, 0.116).

---

Model 2:
The following is a DFT calculation (GGA-PBE) of a relaxed structure of Ac8InAg2.

The value obtained for the density of states at the Fermi level is 11.079 states/eV/f.u. The mass density comes out at 8.4 g cm⁻³.

The space group is C2/m (No. 12) and the conventional cell measures 19.932, 5.684 and 7.893 Å, with angles of 90.00, 109.07 and 90.00 degrees. The distinct sites, in fractional coordinates, are Ac at (0.029, 0.000, 0.273), Ac at (0.092, 0.500, 0.966), Ac at (0.173, 0.500, 0.482), Ac at (0.195, 0.000, 0.822), In at (0.000, 0.500, 0.500) and Ag at (0.179, 0.000, 0.210).

---

Best to worst by energy: model 2, model 1.

---

Model 1:
The following is a DFT calculation (GGA-PBE) of a relaxed structure of AcPmInAg.

The value obtained for the density of states at the Fermi level is 4.178 states/eV/f.u. The mass density comes out at 8.1 g cm⁻³.

The space group is F-43m (No. 216) and the conventional cell measures 7.868, 7.868 and 7.868 Å, with angles of 90.00, 90.00 and 90.00 degrees. The distinct sites, in fractional coordinates, are Ac at (0.000, 0.000, 0.000), Pm at (0.000, 0.000, 0.500), In at (0.250, 0.250, 0.750) and Ag at (0.250, 0.250, 0.250).

---

Model 2:
The following is a DFT calculation (GGA-PBE) of a relaxed structure of AcPmInAg.

The value obtained for the density of states at the Fermi level is 4.539 states/eV/f.u. The mass density comes out at 8.2 g cm⁻³.

The space group is P4mm (No. 99) and the conventional cell measures 3.847, 3.847 and 8.099 Å, with angles of 90.00, 90.00 and 90.00 degrees. The distinct sites, in fractional coordinates, are Ac at (0.000, 0.000, 0.000), Pm at (0.000, 0.000, 0.520), In at (0.500, 0.500, 0.280) and Ag at (0.500, 0.500, 0.729).

---

Best to worst by energy: model 2, model 1.

---

Model 1:
The following is a DFT calculation (GGA-PBE) of a relaxed structure of AcInAgRh.

The value obtained for the density of states at the Fermi level is 1.925 states/eV/f.u. The mass density comes out at 9.3 g cm⁻³.

The space group is Cm (No. 8) and the conventional cell measures 8.196, 4.734 and 5.793 Å, with angles of 90.00, 118.23 and 90.00 degrees. The distinct sites, in fractional coordinates, are Ac at (0.000, 0.000, 0.000), In at (0.018, 0.500, 0.554), Ag at (0.291, 0.500, 0.373) and Rh at (0.207, 0.000, 0.620).

---

Model 2:
The following is a DFT calculation (GGA-PBE) of a relaxed structure of AcInAgRh.

The value obtained for the density of states at the Fermi level is 3.635 states/eV/f.u. The mass density comes out at 9.7 g cm⁻³.

The space group is F-43m (No. 216) and the conventional cell measures 7.221, 7.221 and 7.221 Å, with angles of 90.00, 90.00 and 90.00 degrees. The distinct sites, in fractional coordinates, are Ac at (0.000, 0.000, 0.000), In at (0.000, 0.000, 0.500), Ag at (0.250, 0.250, 0.750) and Rh at (0.250, 0.250, 0.250).

---

Best to worst by energy: model 1, model 2.

---

Model 1:
The following is a DFT calculation (GGA-PBE) of a relaxed structure of AcSmInAg.

The value obtained for the density of states at the Fermi level is 4.046 states/eV/f.u. The mass density comes out at 8.2 g cm⁻³.

The space group is F-43m (No. 216) and the conventional cell measures 7.852, 7.852 and 7.852 Å, with angles of 90.00, 90.00 and 90.00 degrees. The distinct sites, in fractional coordinates, are Ac at (0.000, 0.000, 0.000), Sm at (0.000, 0.000, 0.500), In at (0.250, 0.250, 0.750) and Ag at (0.250, 0.250, 0.250).

---

Model 2:
The following is a DFT calculation (GGA-PBE) of a relaxed structure of AcSmInAg.

The value obtained for the density of states at the Fermi level is 4.425 states/eV/f.u. The mass density comes out at 8.4 g cm⁻³.

The space group is P4mm (No. 99) and the conventional cell measures 3.837, 3.837 and 8.083 Å, with angles of 90.00, 90.00 and 90.00 degrees. The distinct sites, in fractional coordinates, are Ac at (0.000, 0.000, 0.000), Sm at (0.000, 0.000, 0.520), In at (0.500, 0.500, 0.282) and Ag at (0.500, 0.500, 0.726).

---

Best to worst by energy: model 2, model 1.

---

Model 1:
The following is a DFT calculation (GGA-PBE) of a relaxed structure of AcTmInAg.

The value obtained for the density of states at the Fermi level is 3.783 states/eV/f.u. The mass density comes out at 9.1 g cm⁻³.

The space group is P4mm (No. 99) and the conventional cell measures 3.759, 3.759 and 8.029 Å, with angles of 90.00, 90.00 and 90.00 degrees. The distinct sites, in fractional coordinates, are Ac at (0.000, 0.000, 0.000), Tm at (0.000, 0.000, 0.475), In at (0.500, 0.500, 0.710) and Ag at (0.500, 0.500, 0.288).

---

Model 2:
The following is a DFT calculation (GGA-PBE) of a relaxed structure of AcTmInAg.

The value obtained for the density of states at the Fermi level is 3.041 states/eV/f.u. The mass density comes out at 8.8 g cm⁻³.

The space group is F-43m (No. 216) and the conventional cell measures 7.754, 7.754 and 7.754 Å, with angles of 90.00, 90.00 and 90.00 degrees. The distinct sites, in fractional coordinates, are Ac at (0.000, 0.000, 0.000), Tm at (0.000, 0.000, 0.500), In at (0.250, 0.250, 0.750) and Ag at (0.250, 0.250, 0.250).

---

Best to worst by energy: model 1, model 2.

---

Model 1:
The following is a DFT calculation (GGA-PBE) of a relaxed structure of Ac3AgIr.

The value obtained for the density of states at the Fermi level is 4.274 states/eV/f.u. The mass density comes out at 9.4 g cm⁻³.

The space group is C2/m (No. 12) and the conventional cell measures 13.205, 6.003 and 9.450 Å, with angles of 90.00, 111.60 and 90.00 degrees. The distinct sites, in fractional coordinates, are Ac at (0.102, 0.000, 0.218), Ac at (0.122, 0.500, 0.895), Ac at (0.171, 0.000, 0.638), Ag at (0.103, 0.500, 0.467) and Ir at (0.134, 0.000, 0.924).

---

Model 2:
The following is a DFT calculation (GGA-PBE) of a relaxed structure of Ac3AgIr.

The value obtained for the density of states at the Fermi level is 4.179 states/eV/f.u. The mass density comes out at 8.2 g cm⁻³.

The space group is Pm-3m (No. 221) and the conventional cell measures 5.833, 5.833 and 5.833 Å, with angles of 90.00, 90.00 and 90.00 degrees. The distinct sites, in fractional coordinates, are Ac at (0.000, 0.000, 0.500), Ag at (0.500, 0.500, 0.500) and Ir at (0.000, 0.000, 0.000).

---

Best to worst by energy: model 1, model 2.